Arrangement one

DFT (PBE) results for crystalline TiAsRu3 at its relaxed geometry.

a = 4.516 Å, b = 4.516 Å, c = 4.516 Å
α = 90.00°, β = 90.00°, γ = 90.00°
Space group Pm-3m (No. 221)
Symmetry-distinct sites (fractional):
Ti 0.000 0.000 0.000 x1
As 0.500 0.500 0.500 x1
Ru 0.000 0.000 0.500 x3

Computed properties:
ρ, g/cm3: 7.7
Volume, Å³/cell: 92



Arrangement two

DFT (PBE) results for crystalline TiAsRu3 at its relaxed geometry.

a = 4.460 Å, b = 4.460 Å, c = 4.460 Å
α = 90.00°, β = 90.00°, γ = 90.00°
Space group Pm-3m (No. 221)
Symmetry-distinct sites (fractional):
Ti 0.000 0.000 0.000 x1
As 0.500 0.500 0.500 x1
Ru 0.000 0.500 0.500 x3

Computed properties:
ρ, g/cm3: 8.0
Volume, Å³/cell: 89



It is arrangement two that is the most stable of them.



Arrangement one

DFT (PBE) results for crystalline Tl2AsRu at its relaxed geometry.

a = 10.199 Å, b = 10.199 Å, c = 4.638 Å
α = 90.00°, β = 90.00°, γ = 90.00°
Space group I-42d (No. 122)
Symmetry-distinct sites (fractional):
Tl 0.090 0.250 0.125 x8
As 0.000 0.000 0.500 x4
Ru 0.000 0.000 0.000 x4

Computed properties:
ρ, g/cm3: 8.1
Volume, Å³/cell: 482



Arrangement two

DFT (PBE) results for crystalline Tl2AsRu at its relaxed geometry.

a = 3.629 Å, b = 3.597 Å, c = 6.415 Å
α = 90.00°, β = 96.36°, γ = 90.00°
Space group P2/m (No. 10)
Symmetry-distinct sites (fractional):
Tl 0.006 0.000 0.237 x2
As 0.500 0.500 0.500 x1
Ru 0.500 0.500 0.000 x1

Computed properties:
ρ, g/cm3: 11.7
Volume, Å³/cell: 83



It is arrangement one that is the most stable of them.



Arrangement one

DFT (PBE) results for crystalline Tl2AsRu at its relaxed geometry.

a = 4.503 Å, b = 4.514 Å, c = 8.461 Å
α = 90.00°, β = 90.00°, γ = 90.00°
Space group Cmmm (No. 65)
Symmetry-distinct sites (fractional):
Tl 0.000 0.000 0.213 x4
As 0.000 0.500 0.500 x2
Ru 0.000 0.500 0.000 x2

Computed properties:
ρ, g/cm3: 11.3
Volume, Å³/cell: 172



Arrangement two

DFT (PBE) results for crystalline Tl2AsRu at its relaxed geometry.

a = 4.439 Å, b = 4.439 Å, c = 8.400 Å
α = 90.00°, β = 90.00°, γ = 90.00°
Space group I4/mmm (No. 139)
Symmetry-distinct sites (fractional):
Tl 0.000 0.500 0.250 x4
As 0.000 0.000 0.000 x2
Ru 0.000 0.000 0.500 x2

Computed properties:
ρ, g/cm3: 11.7
Volume, Å³/cell: 166



It is arrangement one that is the most stable of them.



Arrangement one

DFT (PBE) results for crystalline Tl2AsRu at its relaxed geometry.

a = 3.584 Å, b = 5.130 Å, c = 9.125 Å
α = 90.00°, β = 90.00°, γ = 90.00°
Space group Immm (No. 71)
Symmetry-distinct sites (fractional):
Tl 0.000 0.000 0.240 x4
As 0.000 0.500 0.000 x2
Ru 0.000 0.500 0.500 x2

Computed properties:
ρ, g/cm3: 11.6
Volume, Å³/cell: 168



Arrangement two

DFT (PBE) results for crystalline Tl2AsRu at its relaxed geometry.

a = 3.179 Å, b = 3.179 Å, c = 8.840 Å
α = 90.00°, β = 90.00°, γ = 90.00°
Space group P4mm (No. 99)
Symmetry-distinct sites (fractional):
Tl 0.000 0.000 0.000 x1
Tl 0.500 0.500 0.332 x1
As 0.000 0.000 0.620 x1
Ru 0.500 0.500 0.752 x1

Computed properties:
ρ, g/cm3: 10.9
Volume, Å³/cell: 89



It is arrangement two that is the most stable of them.



Arrangement one

DFT (PBE) results for crystalline Tl2AsRu at its relaxed geometry.

a = 3.139 Å, b = 4.678 Å, c = 12.784 Å
α = 90.00°, β = 90.00°, γ = 90.00°
Space group Imm2 (No. 44)
Symmetry-distinct sites (fractional):
Tl 0.000 0.000 0.000 x2
Tl 0.000 0.500 0.193 x2
As 0.000 0.500 0.823 x2
Ru 0.000 0.000 0.469 x2

Computed properties:
ρ, g/cm3: 10.3
Volume, Å³/cell: 188



Arrangement two

DFT (PBE) results for crystalline Tl2AsRu at its relaxed geometry.

a = 10.293 Å, b = 3.233 Å, c = 6.342 Å
α = 90.00°, β = 116.18°, γ = 90.00°
Space group Cm (No. 8)
Symmetry-distinct sites (fractional):
Tl 0.000 0.000 0.000 x2
Tl 0.161 0.000 0.624 x2
As 0.325 0.500 0.262 x2
Ru 0.413 0.000 0.574 x2

Computed properties:
ρ, g/cm3: 10.3
Volume, Å³/cell: 189



It is arrangement two that is the most stable of them.



Arrangement one

DFT (PBE) results for crystalline Tl2AsRu at its relaxed geometry.

a = 3.2416 Å, b = 3.2416 Å, c = 28.3744 Å
α = 90.00°, β = 90.00°, γ = 120.00°
Space group R-3m (No. 166, hexagonal axes)
Symmetry-distinct sites (fractional):
Tl 0.0000 0.0000 0.2419 x6
As 0.0000 0.0000 0.0000 x3
Ru 0.0000 0.0000 0.5000 x3

Computed properties:
ρ, g/cm3: 11.3
Volume, Å³/cell: 258



Arrangement two

DFT (PBE) results for crystalline Tl2AsRu at its relaxed geometry.

a = 3.563 Å, b = 3.610 Å, c = 6.435 Å
α = 90.00°, β = 90.00°, γ = 90.00°
Space group Pmmm (No. 47)
Symmetry-distinct sites (fractional):
Tl 0.000 0.000 0.236 x2
As 0.500 0.500 0.500 x1
Ru 0.500 0.500 0.000 x1

Computed properties:
ρ, g/cm3: 11.7
Volume, Å³/cell: 83



Arrangement three

DFT (PBE) results for crystalline Tl2AsRu at its relaxed geometry.

a = 3.3942 Å, b = 3.3942 Å, c = 27.8416 Å
α = 90.00°, β = 90.00°, γ = 120.00°
Space group R3m (No. 160, hexagonal axes)
Symmetry-distinct sites (fractional):
Tl 0.0000 0.0000 0.0000 x3
Tl 0.0000 0.0000 0.2300 x3
As 0.0000 0.0000 0.7673 x3
Ru 0.0000 0.0000 0.4853 x3

Computed properties:
ρ, g/cm3: 10.5
Volume, Å³/cell: 278



Arrangement four

DFT (PBE) results for crystalline Tl2AsRu at its relaxed geometry.

a = 3.556 Å, b = 4.586 Å, c = 5.181 Å
α = 90.00°, β = 90.00°, γ = 90.00°
Space group Pmmm (No. 47)
Symmetry-distinct sites (fractional):
Tl 0.000 0.000 0.000 x1
Tl 0.500 0.000 0.500 x1
As 0.000 0.500 0.500 x1
Ru 0.500 0.500 0.000 x1

Computed properties:
ρ, g/cm3: 11.5
Volume, Å³/cell: 84



It is arrangement three that is the most stable of them.



Arrangement one

DFT (PBE) results for crystalline Tl2AsRu at its relaxed geometry.

a = 6.981 Å, b = 6.981 Å, c = 6.981 Å
α = 90.00°, β = 90.00°, γ = 90.00°
Space group F-43m (No. 216)
Symmetry-distinct sites (fractional):
Tl 0.000 0.000 0.000 x4
Tl 0.250 0.250 0.250 x4
As 0.000 0.000 0.500 x4
Ru 0.250 0.250 0.750 x4

Computed properties:
ρ, g/cm3: 11.4
Volume, Å³/cell: 340



Arrangement two

DFT (PBE) results for crystalline Tl2AsRu at its relaxed geometry.

a = 4.376 Å, b = 4.376 Å, c = 8.697 Å
α = 90.00°, β = 90.00°, γ = 90.00°
Space group I-4m2 (No. 119)
Symmetry-distinct sites (fractional):
Tl 0.000 0.000 0.000 x2
Tl 0.000 0.500 0.250 x2
As 0.000 0.500 0.750 x2
Ru 0.000 0.000 0.500 x2

Computed properties:
ρ, g/cm3: 11.7
Volume, Å³/cell: 167



Arrangement three

DFT (PBE) results for crystalline Tl2AsRu at its relaxed geometry.

a = 6.961 Å, b = 6.961 Å, c = 6.961 Å
α = 90.00°, β = 90.00°, γ = 90.00°
Space group Fm-3m (No. 225)
Symmetry-distinct sites (fractional):
Tl 0.250 0.250 0.250 x8
As 0.000 0.000 0.000 x4
Ru 0.000 0.000 0.500 x4

Computed properties:
ρ, g/cm3: 11.5
Volume, Å³/cell: 337



It is arrangement two that is the most stable of them.